# CsLaHRhS (PBE, relaxed)
data_CsLaHRhS
_cell_length_a 3.675
_cell_length_b 3.805
_cell_length_c 8.525
_cell_angle_alpha 90.00
_cell_angle_beta 98.92
_cell_angle_gamma 90.00
_symmetry_space_group_name_H-M 'P 1'
_symmetry_Int_Tables_number 1
loop_
_symmetry_equiv_pos_as_xyz
'x,y,z'
loop_
_atom_site_label
_atom_site_type_symbol
_atom_site_fract_x
_atom_site_fract_y
_atom_site_fract_z
Cs1 Cs 0.253 0.000 0.278
La1 La 0.097 0.000 0.813
H1 H 0.326 0.500 0.580
Rh1 Rh 0.836 0.500 0.595
S1 S 0.655 0.500 0.983
# Calculated volume, A^3/atom: 23.55
# Magnetization, Bohr magnetons per cell: 0.00
# Total DFT energy (no corrections), eV per atom: -4.9493